YPaTc | PBE-GGA | optimized geometry

Values from the calculation:
**Theoretical density**: 9.51 Mg/m³
**SG**: F-43m, No. 216
**Formation energy from the elements**: 2.5 eV/f.u.

Cell: 4.6914 4.6914 4.6914 Å, 60.00 60.00 60.00°
With the nearest neighbours (Å) after each atom.
Atoms (fractional coordinates):
Tc1 0.2500 0.2500 0.2500  4 Pa 2.87
Pa1 0.0000 0.0000 0.0000  4 Y 2.87, 4 Tc 2.87
Y1 0.7500 0.7500 0.7500  4 Pa 2.87


MgZr2Ga | PBE-GGA | optimized geometry

Values from the calculation:
**Theoretical density**: 5.45 Mg/m³
**SG**: F-43m, No. 216
**Electronic total energy**: -5.29 eV/atom

Cell: 4.9215 4.9215 4.9215 Å, 60.00 60.00 60.00°
With the nearest neighbours (Å) after each atom.
Atoms (fractional coordinates):
Zr1 0.7500 0.7500 0.7500  4 Ga 3.01, 4 Zr 3.01
Zr2 0.0000 0.0000 0.0000  4 Zr 3.01, 4 Mg 3.01
Ga1 0.5000 0.5000 0.5000  4 Zr 3.01, 4 Mg 3.01
Mg1 0.2500 0.2500 0.2500  4 Ga 3.01, 4 Zr 3.01


Na4PtSe4 | PBE-GGA | optimized geometry

Values from the calculation:
**Theoretical density**: 4.34 Mg/m³
**SG**: P-42_1c, No. 114
**Electronic total energy**: -3.44 eV/atom

Cell: 8.2507 8.2507 6.7731 Å, 90.00 90.00 90.00°
With the nearest neighbours (Å) after each atom.
Atoms (fractional coordinates):
Na1 0.0880 0.7064 0.5367  5 Se 2.91-3.07
Na2 0.4120 0.2064 0.9633  5 Se 2.91-3.07
Na3 0.7936 0.4120 0.0367  5 Se 2.91-3.07
Na4 0.9120 0.2936 0.5367  5 Se 2.91-3.07
Na5 0.7064 0.9120 0.4633  5 Se 2.91-3.07
Na6 0.2064 0.5880 0.0367  5 Se 2.91-3.07
Na7 0.2936 0.0880 0.4633  5 Se 2.91-3.07
Na8 0.5880 0.7936 0.9633  5 Se 2.91-3.07
Pt1 0.0000 0.0000 0.0000  4 Se 2.44
Pt2 0.5000 0.5000 0.5000  4 Se 2.44
Se1 0.2490 0.9106 0.8398  1 Pt 2.44
Se2 0.2510 0.4106 0.6602  1 Pt 2.44
Se3 0.4106 0.7490 0.3398  1 Pt 2.44
Se4 0.0894 0.2490 0.1602  1 Pt 2.44
Se5 0.7510 0.0894 0.8398  1 Pt 2.44
Se6 0.7490 0.5894 0.6602  1 Pt 2.44
Se7 0.5894 0.2510 0.3398  1 Pt 2.44
Se8 0.9106 0.7510 0.1602  1 Pt 2.44


LaHoNO | PBE-GGA | optimized geometry

Values from the calculation:
**E above lowest polymorph**: 117 meV/atom
**Theoretical density**: 8.07 Mg/m³
**SG**: P4/nmm, No. 129

Cell: 4.7972 4.7972 5.9711 Å, 90.00 90.00 90.00°
With the nearest neighbours (Å) after each atom.
Atoms (fractional coordinates):
N1 0.7500 0.7500 0.3843  1 Ho 2.12
N2 0.2500 0.2500 0.6157  1 Ho 2.12
O1 0.2500 0.7500 0.0000  4 Ho 2.40
O2 0.7500 0.2500 0.0000  4 Ho 2.40
Ho1 0.7500 0.7500 0.0292  1 N 2.12
Ho2 0.2500 0.2500 0.9708  1 N 2.12
La1 0.7500 0.2500 0.5000  4 N 2.50
La2 0.2500 0.7500 0.5000  4 N 2.50


LiZnPO4 | PBE-GGA | optimized geometry

Values from the calculation:
**E above lowest polymorph**: 8 meV/atom
**Theoretical density**: 3.37 Mg/m³
**SG**: I-4, No. 82

Cell: 4.9924 4.9924 4.9924 Å, 123.77 123.77 83.59°
With the nearest neighbours (Å) after each atom.
Atoms (fractional coordinates):
O1 0.0601 0.5600 0.8860  1 P 1.55
O2 0.8259 0.9399 0.4999  1 P 1.55
O3 0.6740 0.1741 0.1140  1 P 1.55
O4 0.4400 0.3260 0.5001  1 P 1.55
P1 0.7500 0.2500 0.5000  4 O 1.55
Li1 0.0000 0.0000 0.0000  4 O 1.97
Zn1 0.5000 0.5000 0.0000  4 O 1.97


TbTmFe2Ge2C | PBE-GGA | optimized geometry

Values from the calculation:
**Theoretical density**: 8.87 Mg/m³
**SG**: Cm, No. 8
**Electronic total energy**: -6.92 eV/atom

Cell: 5.6850 5.6850 6.7893 Å, 125.89 125.89 40.71°
With the nearest neighbours (Å) after each atom.
Atoms (fractional coordinates):
Tm1 0.5566 0.5566 0.2867  2 C 2.56
Fe1 0.1966 0.1966 0.0905  1 C 1.77
Fe2 0.8045 0.8045 0.9112  1 C 1.77
Tb1 0.4414 0.4414 0.7093  2 C 2.59
C1 0.0014 0.0014 0.0040  2 Fe 1.77
Ge1 0.8374 0.8374 0.2909  3 Fe 2.34-2.37
Ge2 0.1620 0.1620 0.7074  3 Fe 2.35-2.39


Which formula does entry 2 have?
MgZr2Ga